Record 1
First-principles (PBE-GGA) data for Tl2TeIr after structural relaxation, as listed in Alexandria via LeMat-Bulk.

a b c (Å): 3.376 3.385 9.504
angles (deg): 90.00 90.00 90.00
Positions (direct):
Te1 0.500 0.500 0.664
Ir1 0.000 0.000 0.537
Tl1 0.000 0.000 0.999
Tl2 0.500 0.500 0.300

Spin magnetization ... 0.00 μB per cell
Distance to the lowest polymorph of the same formula ... 90 meV per atom
Space group ... P4mm, No. 99
Crystal system ... tetragonal
Fermi-level density of states ... 3.71 states/eV/f.u.
Electronic total energy ... -3.99 eV per atom
Uncorrected formation energy ... 0.1896 eV/atom

---

Record 2
First-principles (PBE-GGA) data for Tl2TeIr after structural relaxation, as listed in Alexandria via LeMat-Bulk.

a b c (Å): 6.136 6.136 3.132
angles (deg): 90.00 90.00 122.63
Positions (direct):
Ir1 0.500 0.000 0.500
Te1 0.000 0.500 0.500
Tl1 0.500 0.500 0.000
Tl2 0.000 0.000 0.000

Spin magnetization ... 0.44 μB per cell
Distance to the lowest polymorph of the same formula ... 493 meV per atom
Space group ... Cmmm, No. 65
Crystal system ... orthorhombic
Fermi-level density of states ... 3.94 states/eV/f.u.
Electronic total energy ... -3.59 eV per atom
Uncorrected formation energy ... 0.5924 eV/atom

---

Record 3
First-principles (PBE-GGA) data for Tl2TeIr after structural relaxation, as listed in Alexandria via LeMat-Bulk.

a b c (Å): 11.381 11.381 11.381
angles (deg): 16.27 16.27 16.27
Positions (direct):
Tl1 0.983 0.983 0.983
Ir1 0.250 0.250 0.250
Tl2 0.517 0.517 0.517
Te1 0.750 0.750 0.750

Spin magnetization ... 0.00 μB per cell
Distance to the lowest polymorph of the same formula ... 356 meV per atom
Space group ... R-3m, No. 166
Crystal system ... trigonal
Fermi-level density of states ... 3.52 states/eV/f.u.
Electronic total energy ... -3.73 eV per atom
Uncorrected formation energy ... 0.4557 eV/atom

---

Record 4
First-principles (PBE-GGA) data for Tl2TeIr after structural relaxation, as listed in Alexandria via LeMat-Bulk.

a b c (Å): 3.220 3.220 9.609
angles (deg): 90.00 90.00 90.01
Positions (direct):
Te1 0.500 0.500 0.750
Tl1 0.000 0.000 0.442
Tl2 0.000 0.000 0.058
Ir1 0.500 0.500 0.250

Spin magnetization ... 0.00 μB per cell
Distance to the lowest polymorph of the same formula ... 298 meV per atom
Space group ... P4/mmm, No. 123
Crystal system ... tetragonal
Fermi-level density of states ... 3.40 states/eV/f.u.
Electronic total energy ... -3.79 eV per atom
Uncorrected formation energy ... 0.3982 eV/atom

---

Record 5
First-principles (PBE-GGA) data for Tl2TeIr after structural relaxation, as listed in Alexandria via LeMat-Bulk.

a b c (Å): 5.536 3.262 6.229
angles (deg): 61.93 90.00 90.00
Positions (direct):
Tl1 0.000 0.298 0.488
Ir1 0.500 0.250 0.250
Tl2 0.000 0.202 0.012
Te1 0.500 0.750 0.750

Spin magnetization ... 0.00 μB per cell
Distance to the lowest polymorph of the same formula ... 411 meV per atom
Space group ... P2/m, No. 10
Crystal system ... monoclinic
Fermi-level density of states ... 4.20 states/eV/f.u.
Electronic total energy ... -3.67 eV per atom
Uncorrected formation energy ... 0.5106 eV/atom

---

Record 6
First-principles (PBE-GGA) data for Tl2TeIr after structural relaxation, as listed in Alexandria via LeMat-Bulk.

a b c (Å): 6.311 6.311 8.341
angles (deg): 67.77 67.77 90.00
Positions (direct):
Tl1 0.066 0.625 0.250
Tl2 0.684 0.125 0.250
Ir1 0.000 0.000 0.000
Te1 0.500 0.500 0.000
Tl3 0.375 0.316 0.750
Te2 0.250 0.750 0.500
Ir2 0.750 0.250 0.500
Tl4 0.875 0.934 0.750

Spin magnetization ... 0.00 μB per cell
Distance to the lowest polymorph of the same formula ... 470 meV per atom
Space group ... I-42d, No. 122
Crystal system ... tetragonal
Fermi-level density of states ... 5.01 states/eV/f.u.
Electronic total energy ... -3.61 eV per atom
Uncorrected formation energy ... 0.5694 eV/atom

---

Record 7
First-principles (PBE-GGA) data for Tl2TeIr after structural relaxation, as listed in Alexandria via LeMat-Bulk.

a b c (Å): 8.187 8.187 8.187
angles (deg): 28.37 28.37 28.37
Positions (direct):
Ir1 0.493 0.493 0.493
Tl1 0.998 0.998 0.998
Tl2 0.232 0.232 0.232
Te1 0.776 0.776 0.776

Spin magnetization ... 0.00 μB per cell
Distance to the lowest polymorph of the same formula ... 0 meV per atom
Space group ... R3m, No. 160
Crystal system ... trigonal
Fermi-level density of states ... 2.13 states/eV/f.u.
Electronic total energy ... -4.08 eV per atom
Uncorrected formation energy ... 0.0998 eV/atom

---

Record 8
First-principles (PBE-GGA) data for Tl3TeIr after structural relaxation, as listed in Alexandria via LeMat-Bulk.

a b c (Å): 5.326 5.326 5.326
angles (deg): 90.00 90.00 90.00
Positions (direct):
Te1 0.500 0.500 0.500
Ir1 0.000 0.000 0.000
Tl1 0.000 0.500 0.000
Tl2 0.500 0.000 0.000
Tl3 0.000 0.000 0.500

Spin magnetization ... 0.00 μB per cell
Distance to the lowest polymorph of the same formula ... 0 meV per atom
Space group ... Pm-3m, No. 221
Crystal system ... cubic
Fermi-level density of states ... 2.17 states/eV/f.u.
Electronic total energy ... -3.75 eV per atom
Uncorrected formation energy ... 0.0679 eV/atom